[1]
A PBEsol-optimized structure of TaTlCu, computed with SCAN.

Calculated values
The calculation puts the total energy at -152.6 eV/cell. For the energy relative to the elements, the calculation gives 0.5117 eV per atom.

Unit cell a=2.9912 b=2.9912 c=6.8828 alpha=90.00 beta=90.00 gamma=120.00
Space group P3m1 (No. 156)
Inequivalent atoms, fractional coordinates:
Ta  0.0000  0.0000  0.0000
Tl  0.3333  0.6667  0.6290
Cu  0.6667  0.3333  0.3003

---

[2]
A PBEsol-optimized structure of TaTlCu2, computed with SCAN.

Calculated values
The calculation puts the total energy at -167.7 eV/cell. As for the polymorph energy (0 for the lowest one): 0.25 eV per formula unit. For the energy relative to the elements, the calculation gives 0.4067 eV per atom.

Unit cell a=4.1896 b=4.1896 c=3.5622 alpha=90.00 beta=90.00 gamma=90.00
Space group P4/mmm (No. 123)
Inequivalent atoms, fractional coordinates:
Ta  0.0000  0.0000  0.0000
Tl  0.5000  0.5000  0.0000
Cu  0.0000  0.5000  0.5000

---

[3]
A PBEsol-optimized structure of TaTlCu2, computed with SCAN.

Calculated values
The calculation puts the total energy at -335.0 eV/cell. As for the polymorph energy (0 for the lowest one): 0.49 eV per formula unit. For the energy relative to the elements, the calculation gives 0.4647 eV per atom.

Unit cell a=2.8828 b=4.6442 c=9.3751 alpha=90.00 beta=90.00 gamma=90.00
Space group Imm2 (No. 44)
Inequivalent atoms, fractional coordinates:
Ta  0.0000  0.0000  0.0000
Tl  0.0000  0.5000  0.7781
Cu  0.0000  0.0000  0.5273
Cu  0.0000  0.5000  0.2437

---

[4]
A PBEsol-optimized structure of TaCuW2, computed with SCAN.

Calculated values
The calculation puts the total energy at -439.7 eV/cell. As for the polymorph energy (0 for the lowest one): 0.46 eV per formula unit. For the energy relative to the elements, the calculation gives 0.3246 eV per atom.

Unit cell a=9.2914 b=2.8360 c=4.7387 alpha=90.00 beta=100.40 gamma=90.00
Space group C2/m (No. 12)
Inequivalent atoms, fractional coordinates:
Ta  0.0000  0.0000  0.0000
Cu  0.0000  0.5000  0.5000
W  0.2343  0.0000  0.7360

---

[5]
A PBEsol-optimized structure of TaCuW2, computed with SCAN.

Calculated values
The calculation puts the total energy at -220.3 eV/cell. As for the polymorph energy (0 for the lowest one): 0.00 eV per formula unit. For the energy relative to the elements, the calculation gives 0.2108 eV per atom.

Unit cell a=2.6763 b=4.4620 c=5.1938 alpha=90.00 beta=98.39 gamma=90.00
Space group Pm (No. 6)
Inequivalent atoms, fractional coordinates:
Ta  0.0000  0.0000  0.0000
Cu  0.3212  0.5000  0.7668
W  0.4799  0.0000  0.4994
W  0.7463  0.5000  0.2709

---

[6]
A PBEsol-optimized structure of Y2TaCu, computed with SCAN.

Calculated values
The calculation puts the total energy at -407.6 eV/cell. For the energy relative to the elements, the calculation gives 0.4003 eV per atom.

Unit cell a=3.2397 b=3.2397 c=28.4158 alpha=90.00 beta=90.00 gamma=120.00
Space group R-3m (No. 166, hexagonal axes)
Inequivalent atoms, fractional coordinates:
Y  0.0000  0.0000  0.2451
Ta  0.0000  0.0000  0.0000
Cu  0.0000  0.0000  0.5000

---

[7]
A PBEsol-optimized structure of YTaCu, computed with SCAN.

Calculated values
The calculation puts the total energy at -424.2 eV/cell. For the energy relative to the elements, the calculation gives 1.1919 eV per atom.

Unit cell a=6.3314 b=6.3314 c=6.3314 alpha=90.00 beta=90.00 gamma=90.00
Space group F-43m (No. 216)
Inequivalent atoms, fractional coordinates:
Y  0.0000  0.0000  0.0000
Ta  0.2500  0.2500  0.7500
Cu  0.0000  0.0000  0.5000

---

[8]
A PBEsol-optimized structure of TaZn3Cu, computed with SCAN.

Calculated values
The calculation puts the total energy at -114.7 eV/cell. For the energy relative to the elements, the calculation gives 1.5176 eV per atom.

Unit cell a=4.9123 b=4.9123 c=4.9123 alpha=90.00 beta=90.00 gamma=90.00
Space group Pm-3m (No. 221)
Inequivalent atoms, fractional coordinates:
Ta  0.0000  0.0000  0.0000
Zn  0.0000  0.0000  0.5000
Cu  0.5000  0.5000  0.5000

---

[9]
A PBEsol-optimized structure of TaZnCu2, computed with SCAN.

Calculated values
The calculation puts the total energy at -329.6 eV/cell. For the energy relative to the elements, the calculation gives 0.1603 eV per atom.

Unit cell a=2.7279 b=2.7279 c=25.8933 alpha=90.00 beta=90.00 gamma=120.00
Space group R3m (No. 160, hexagonal axes)
Inequivalent atoms, fractional coordinates:
Ta  0.0000  0.0000  0.0000
Zn  0.0000  0.0000  0.2407
Cu  0.0000  0.0000  0.4961
Cu  0.0000  0.0000  0.7534

---

[10]
A PBEsol-optimized structure of TaZnCu2, computed with SCAN.

Calculated values
The calculation puts the total energy at -110.5 eV/cell. For the energy relative to the elements, the calculation gives 0.0054 eV per atom.

Unit cell a=2.7660 b=2.7660 c=7.0396 alpha=90.00 beta=90.00 gamma=90.00
Space group P4mm (No. 99)
Inequivalent atoms, fractional coordinates:
Ta  0.0000  0.0000  0.0000
Zn  0.5000  0.5000  0.2859
Cu  0.0000  0.0000  0.5144
Cu  0.5000  0.5000  0.7329

---

[11]
A PBEsol-optimized structure of TaZnCu2, computed with SCAN.

Calculated values
The calculation puts the total energy at -110.5 eV/cell. For the energy relative to the elements, the calculation gives -0.0119 eV per atom.

Unit cell a=2.7729 b=2.7729 c=7.0004 alpha=90.00 beta=90.00 gamma=90.00
Space group P4/mmm (No. 123)
Inequivalent atoms, fractional coordinates:
Ta  0.0000  0.0000  0.0000
Zn  0.0000  0.0000  0.5000
Cu  0.5000  0.5000  0.2700

---

[12]
A PBEsol-optimized structure of TaZn2Cu, computed with SCAN.

Calculated values
The calculation puts the total energy at -109.0 eV/cell. As for the polymorph energy (0 for the lowest one): 0.14 eV per formula unit. For the energy relative to the elements, the calculation gives -0.0532 eV per atom.

Unit cell a=2.8111 b=2.8111 c=7.1024 alpha=90.00 beta=90.00 gamma=90.00
Space group P4mm (No. 99)
Inequivalent atoms, fractional coordinates:
Ta  0.0000  0.0000  0.0000
Zn  0.0000  0.0000  0.5230
Zn  0.5000  0.5000  0.2769
Cu  0.5000  0.5000  0.7396